<w>
Here is crystalline Ce3Pt2Au at its relaxed geometry from the Alexandria database. Energies are from GGA-PBE.

* Fermi-level density of states: 18.1 states/eV per cell

Cell: 8.740 8.740 8.740 Å, 157.29 143.55 43.38°
Atoms (fractional coordinates):
Ce 0.000 0.000 0.000
Ce 0.319 0.819 0.500
Ce 0.681 0.181 0.500
Pt 0.151 0.651 0.500
Pt 0.849 0.349 0.500
Au 0.500 0.000 0.500

<x>
Here is crystalline Ce3Pt2Au at its relaxed geometry from the Alexandria database. Energies are from GGA-PBE.

* Fermi-level density of states: 34.3 states/eV per cell

Cell: 7.209 7.209 9.473 Å, 90.00 90.00 141.61°
Atoms (fractional coordinates):
Ce 0.129 0.871 0.750
Ce 0.367 0.633 0.543
Ce 0.367 0.633 0.957
Ce 0.633 0.367 0.043
Ce 0.633 0.367 0.457
Ce 0.871 0.129 0.250
Pt 0.000 0.000 0.000
Pt 0.000 0.000 0.500
Pt 0.477 0.523 0.250
Pt 0.523 0.477 0.750
Au 0.221 0.779 0.250
Au 0.779 0.221 0.750

What is the least stable structure shown above? It is <w>.